LiZrCoGe PBE optimized geometry; calculated volume = 55.7 Å³/cell; ΔE_f = -533.0 meV/atom; total magnetization = 0.0 Bohr magnetons per cell
1.0
0.000 3.030 3.030
3.030 0.000 3.030
3.030 3.030 0.000
Li Zr Co Ge
1 1 1 1
Cartesian
0.000 0.000 0.000
1.515 1.515 1.515
3.030 3.030 3.030
4.546 4.546 4.546